Entry from Alexandria: a relaxed structure of Th3In4 (PBE).

The structure belongs to space group Cmcm (No. 63); the cell edges are 4.5246, 11.7523 and 15.2988 Å and the angles 90.00°, 90.00° and 90.00°. Symmetry generates all atoms from Th at (0.0000, 0.0140, 0.2500), Th at (0.0000, 0.3043, 0.0994), In at (0.0000, 0.0000, 0.0000), In at (0.0000, 0.2556, 0.7500) and In at (0.0000, 0.4089, 0.6035).

The value obtained for the formation energy is -247.7 meV per atom. For the volume, the calculation gives 29.05 A^3/atom. The density of states at the Fermi level comes out at 0.927 states/eV per atom. The value obtained for the total DFT energy (no corrections) is -4.992 eV/atom.